# La6P3HS2 | the Alexandria database | PBE | relaxed
data_La6P3HS2
_chemical_formula_sum 'La6 P3 H1 S2'
_symmetry_space_group_name_H-M 'P 1'
_symmetry_Int_Tables_number 1
_cell_length_a 4.200
_cell_length_b 8.359
_cell_length_c 9.318
_cell_angle_alpha 102.74
_cell_angle_beta 103.03
_cell_angle_gamma 90.00
loop_
_symmetry_equiv_pos_as_xyz
'x,y,z'
loop_
_atom_site_label
_atom_site_type_symbol
_atom_site_fract_x
_atom_site_fract_y
_atom_site_fract_z
La1 La 0.332 0.919 0.663
La2 La 0.667 0.586 0.334
La3 La 0.668 0.081 0.337
La4 La 0.999 0.257 0.997
La5 La 0.001 0.743 0.003
La6 La 0.333 0.414 0.666
P1 P 0.500 0.500 0.000
P2 P 0.833 0.165 0.666
P3 P 0.167 0.835 0.334
H1 H 0.500 0.000 0.000
S1 S 0.835 0.669 0.671
S2 S 0.165 0.331 0.329
# - calculated total energy (eV per atom) = -6.389
# - space group = C2/m (12)

=====

# ReAs2W | the Alexandria database | PBE | relaxed
data_ReAs2W
_chemical_formula_sum 'Re1 As2 W1'
_symmetry_space_group_name_H-M 'P 1'
_symmetry_Int_Tables_number 1
_cell_length_a 2.915
_cell_length_b 3.962
_cell_length_c 5.460
_cell_angle_alpha 90.00
_cell_angle_beta 90.00
_cell_angle_gamma 90.00
loop_
_symmetry_equiv_pos_as_xyz
'x,y,z'
loop_
_atom_site_label
_atom_site_type_symbol
_atom_site_fract_x
_atom_site_fract_y
_atom_site_fract_z
Re1 Re 0.000 0.000 0.475
As1 As 0.000 0.000 0.962
As2 As 0.500 0.500 0.291
W1 W 0.500 0.500 0.773
# - calculated total energy (eV per atom) = -8.377
# - E_form (eV/f.u.) = 1.19
# - space group = Pmm2 (25)

=====

# Li2PaAgS4 | the Alexandria database | PBE | relaxed
data_Li2PaAgS4
_chemical_formula_sum 'Li2 Pa1 Ag1 S4'
_symmetry_space_group_name_H-M 'P 1'
_symmetry_Int_Tables_number 1
_cell_length_a 4.008
_cell_length_b 6.336
_cell_length_c 6.534
_cell_angle_alpha 107.40
_cell_angle_beta 90.00
_cell_angle_gamma 90.00
loop_
_symmetry_equiv_pos_as_xyz
'x,y,z'
loop_
_atom_site_label
_atom_site_type_symbol
_atom_site_fract_x
_atom_site_fract_y
_atom_site_fract_z
Li1 Li 0.500 0.000 0.500
Li2 Li 0.000 0.500 0.500
Pa1 Pa 0.500 0.500 0.000
Ag1 Ag 0.000 0.000 0.000
S1 S 0.500 0.262 0.257
S2 S 0.500 0.738 0.743
S3 S 0.000 0.265 0.753
S4 S 0.000 0.735 0.247
# - calculated total energy (eV per atom) = -5.276
# - space group = P2/m (10)

=====

# Ba4PrHg5 | the Alexandria database | PBE | relaxed
data_Ba4PrHg5
_chemical_formula_sum 'Ba4 Pr1 Hg5'
_symmetry_space_group_name_H-M 'P 1'
_symmetry_Int_Tables_number 1
_cell_length_a 4.109
_cell_length_b 4.109
_cell_length_c 20.886
_cell_angle_alpha 90.00
_cell_angle_beta 90.00
_cell_angle_gamma 90.00
loop_
_symmetry_equiv_pos_as_xyz
'x,y,z'
loop_
_atom_site_label
_atom_site_type_symbol
_atom_site_fract_x
_atom_site_fract_y
_atom_site_fract_z
Ba1 Ba 0.000 0.000 0.190
Ba2 Ba 0.000 0.000 0.397
Ba3 Ba 0.000 0.000 0.603
Ba4 Ba 0.000 0.000 0.810
Pr1 Pr 0.000 0.000 0.000
Hg1 Hg 0.500 0.500 0.082
Hg2 Hg 0.500 0.500 0.294
Hg3 Hg 0.500 0.500 0.500
Hg4 Hg 0.500 0.500 0.706
Hg5 Hg 0.500 0.500 0.918
# - calculated total energy (eV per atom) = -1.901
# - E_form (eV/f.u.) = -5.03
# - space group = P4/mmm (123)

=====

# NdSm2ErTe5 | the Alexandria database | PBE | relaxed
data_NdSm2ErTe5
_chemical_formula_sum 'Nd1 Sm2 Er1 Te5'
_symmetry_space_group_name_H-M 'P 1'
_symmetry_Int_Tables_number 1
_cell_length_a 5.498
_cell_length_b 5.498
_cell_length_c 11.785
_cell_angle_alpha 90.00
_cell_angle_beta 90.00
_cell_angle_gamma 90.00
loop_
_symmetry_equiv_pos_as_xyz
'x,y,z'
loop_
_atom_site_label
_atom_site_type_symbol
_atom_site_fract_x
_atom_site_fract_y
_atom_site_fract_z
Nd1 Nd 0.000 0.000 0.000
Sm1 Sm 0.500 0.500 0.346
Sm2 Sm 0.500 0.500 0.654
Er1 Er 0.000 0.000 0.500
Te1 Te 0.000 0.500 0.500
Te2 Te 0.500 0.000 0.500
Te3 Te 0.000 0.000 0.749
Te4 Te 0.000 0.000 0.251
Te5 Te 0.500 0.500 0.000
# - calculated total energy (eV per atom) = -4.626
# - space group = P4/mmm (123)

=====

# SrMg2CoSi | the Alexandria database | PBE | relaxed
data_SrMg2CoSi
_chemical_formula_sum 'Sr1 Mg2 Co1 Si1'
_symmetry_space_group_name_H-M 'P 1'
_symmetry_Int_Tables_number 1
_cell_length_a 4.905
_cell_length_b 4.905
_cell_length_c 4.454
_cell_angle_alpha 90.00
_cell_angle_beta 90.00
_cell_angle_gamma 90.00
loop_
_symmetry_equiv_pos_as_xyz
'x,y,z'
loop_
_atom_site_label
_atom_site_type_symbol
_atom_site_fract_x
_atom_site_fract_y
_atom_site_fract_z
Sr1 Sr 0.500 0.500 0.500
Si1 Si 0.000 0.000 0.500
Co1 Co 0.000 0.000 0.000
Mg1 Mg 0.000 0.500 0.000
Mg2 Mg 0.500 0.000 0.000
# - calculated total energy (eV per atom) = -3.630
# - space group = P4/mmm (123)

=====

# CaTlCd2 | the Alexandria database | PBE | relaxed
data_CaTlCd2
_chemical_formula_sum 'Ca1 Tl1 Cd2'
_symmetry_space_group_name_H-M 'P 1'
_symmetry_Int_Tables_number 1
_cell_length_a 5.304
_cell_length_b 5.304
_cell_length_c 5.237
_cell_angle_alpha 120.31
_cell_angle_beta 120.30
_cell_angle_gamma 90.73
loop_
_symmetry_equiv_pos_as_xyz
'x,y,z'
loop_
_atom_site_label
_atom_site_type_symbol
_atom_site_fract_x
_atom_site_fract_y
_atom_site_fract_z
Tl1 Tl 0.500 0.500 0.000
Ca1 Ca 0.750 0.250 0.500
Cd1 Cd 0.999 0.001 0.000
Cd2 Cd 0.250 0.750 0.500
# - calculated total energy (eV per atom) = -1.778
# - E_form (eV/f.u.) = -0.91
# - space group = C2 (5)

=====

# Mn2CrHgI | the Alexandria database | PBE | relaxed
data_Mn2CrHgI
_chemical_formula_sum 'Mn2 Cr1 Hg1 I1'
_symmetry_space_group_name_H-M 'P 1'
_symmetry_Int_Tables_number 1
_cell_length_a 4.991
_cell_length_b 5.395
_cell_length_c 4.991
_cell_angle_alpha 90.00
_cell_angle_beta 90.00
_cell_angle_gamma 90.00
loop_
_symmetry_equiv_pos_as_xyz
'x,y,z'
loop_
_atom_site_label
_atom_site_type_symbol
_atom_site_fract_x
_atom_site_fract_y
_atom_site_fract_z
I1 I 0.000 0.500 0.000
Cr1 Cr 0.000 0.000 0.000
Mn1 Mn 0.000 0.000 0.500
Mn2 Mn 0.500 0.000 0.000
Hg1 Hg 0.500 0.500 0.500
# - calculated total energy (eV per atom) = -5.079
# - space group = P4/mmm (123)

=====

- What is the calculated total energy in the second record?
  -8.377 eV per atom